# 1
Dy2Al3Pd4, optimized geometry, DFT PBE; crystal system = orthorhombic; calculated volume = 324.6 Å³/cell; total DFT energy (no corrections) = -5.491 eV/atom; space group = Cmce, No. 64
1.0
2.7916 -7.6416 0.0000
2.7916 7.6416 0.0000
0.0000 0.0000 7.6089
Dy Al Pd
4 6 8
direct
0.1077 0.8923 0.9134 Dy
0.3923 0.6077 0.4134 Dy
0.6077 0.3923 0.5866 Dy
0.8923 0.1077 0.0866 Dy
0.0000 0.0000 0.5000 Al
0.0207 0.4793 0.7500 Al
0.4793 0.0207 0.2500 Al
0.5000 0.5000 0.0000 Al
0.5207 0.9793 0.7500 Al
0.9793 0.5207 0.2500 Al
0.1827 0.8173 0.5213 Pd
0.1886 0.3114 0.7500 Pd
0.3114 0.1886 0.2500 Pd
0.3173 0.6827 0.0213 Pd
0.6827 0.3173 0.9787 Pd
0.6886 0.8114 0.7500 Pd
0.8114 0.6886 0.2500 Pd
0.8173 0.1827 0.4787 Pd



# 2
Dy2Al8Pd, optimized geometry, DFT PBE; crystal system = tetragonal; calculated volume = 205.7 Å³/cell; total DFT energy (no corrections) = -4.520 eV/atom; space group = P4/mmm, No. 123
1.0
4.2937 0.0000 0.0000
0.0000 4.2937 0.0000
0.0000 0.0000 11.1567
Dy Al Pd
2 8 1
direct
0.0000 0.0000 0.1877 Dy
0.0000 0.0000 0.8123 Dy
0.0000 0.5000 0.0000 Al
0.0000 0.5000 0.3743 Al
0.0000 0.5000 0.6257 Al
0.5000 0.0000 0.0000 Al
0.5000 0.0000 0.3743 Al
0.5000 0.0000 0.6257 Al
0.5000 0.5000 0.1947 Al
0.5000 0.5000 0.8053 Al
0.0000 0.0000 0.5000 Pd



# 3
Dy2Al2PdPt3, optimized geometry, DFT PBE; crystal system = trigonal; calculated volume = 150.9 Å³/cell; total DFT energy (no corrections) = -6.145 eV/atom; space group = P3m1, No. 156
1.0
4.3491 0.0000 0.0000
-2.1746 3.7665 0.0000
0.0000 0.0000 9.2113
Dy Al Pd Pt
2 2 1 3
direct
0.0000 0.0000 0.0000 Dy
0.3333 0.6667 0.4963 Dy
0.6667 0.3333 0.2498 Al
0.6667 0.3333 0.7557 Al
0.0000 0.0000 0.6650 Pd
0.0000 0.0000 0.3345 Pt
0.3333 0.6667 0.1661 Pt
0.3333 0.6667 0.8270 Pt



# 4
DyAlPdPt, optimized geometry, DFT PBE; crystal system = trigonal; calculated volume = 150.9 Å³/cell; total DFT energy (no corrections) = -5.972 eV/atom; space group = P-3m1, No. 164
1.0
4.3547 0.0000 0.0000
-2.1774 3.7713 0.0000
0.0000 0.0000 9.1912
Dy Al Pd Pt
2 2 2 2
direct
0.3333 0.6667 0.2538 Dy
0.6667 0.3333 0.7462 Dy
0.0000 0.0000 0.0000 Al
0.0000 0.0000 0.5000 Al
0.3333 0.6667 0.9209 Pd
0.6667 0.3333 0.0791 Pd
0.3333 0.6667 0.5846 Pt
0.6667 0.3333 0.4154 Pt



# 5
Dy2Al2Pd3Pt, optimized geometry, DFT PBE; crystal system = trigonal; calculated volume = 150.5 Å³/cell; total DFT energy (no corrections) = -5.803 eV/atom; space group = P3m1, No. 156
1.0
4.3585 0.0000 0.0000
-2.1793 3.7746 0.0000
0.0000 0.0000 9.1490
Dy Al Pd Pt
2 2 3 1
direct
0.0000 0.0000 0.0000 Dy
0.3333 0.6667 0.5049 Dy
0.6667 0.3333 0.2548 Al
0.6667 0.3333 0.7604 Al
0.0000 0.0000 0.3340 Pd
0.0000 0.0000 0.6677 Pd
0.3333 0.6667 0.1751 Pd
0.3333 0.6667 0.8328 Pt



# 6
DyAlPdPt, optimized geometry, DFT PBE; crystal system = hexagonal; calculated volume = 150.8 Å³/cell; total DFT energy (no corrections) = -5.978 eV/atom; space group = P-6m2, No. 187
1.0
4.3570 0.0000 0.0000
-2.1785 3.7733 0.0000
0.0000 0.0000 9.1731
Dy Al Pd Pt
2 2 2 2
direct
0.0000 0.0000 0.0000 Dy
0.3333 0.6667 0.5000 Dy
0.6667 0.3333 0.2440 Al
0.6667 0.3333 0.7560 Al
0.0000 0.0000 0.3353 Pd
0.0000 0.0000 0.6647 Pd
0.3333 0.6667 0.1735 Pt
0.3333 0.6667 0.8265 Pt



# 7
DyAlPdPt, optimized geometry, DFT PBE; crystal system = hexagonal; calculated volume = 150.7 Å³/cell; total DFT energy (no corrections) = -5.984 eV/atom; space group = P6_3mc, No. 186
1.0
4.3543 0.0000 0.0000
-2.1772 3.7709 0.0000
0.0000 0.0000 9.1782
Dy Al Pd Pt
2 2 2 2
direct
0.3333 0.6667 0.0000 Dy
0.6667 0.3333 0.5000 Dy
0.0000 0.0000 0.2597 Al
0.0000 0.0000 0.7597 Al
0.3333 0.6667 0.6673 Pd
0.6667 0.3333 0.1673 Pd
0.3333 0.6667 0.3311 Pt
0.6667 0.3333 0.8311 Pt



# 8
Dy3Al2SnPdPt2, optimized geometry, DFT PBE; crystal system = orthorhombic; calculated volume = 185.0 Å³/cell; total DFT energy (no corrections) = -5.786 eV/atom; space group = Amm2, No. 38
1.0
3.8649 0.0000 0.0000
0.0000 6.3827 3.7496
0.0000 -6.3827 3.7496
Dy Al Sn Pd Pt
3 2 1 1 2
direct
0.0000 0.0000 0.0000 Dy
0.0000 0.1769 0.5929 Dy
0.0000 0.5929 0.1769 Dy
0.5000 0.5933 0.8462 Al
0.5000 0.8462 0.5933 Al
0.5000 0.3418 0.3418 Sn
0.0000 0.6111 0.6111 Pd
0.5000 0.2546 0.9110 Pt
0.5000 0.9110 0.2546 Pt